# WSN2F GGA+U relaxed
data_WSN2F
_symmetry_space_group_name_H-M 'P 1'
_symmetry_Int_Tables_number 1
_cell_length_a 3.950
_cell_length_b 3.950
_cell_length_c 3.827
_cell_angle_alpha 90.00
_cell_angle_beta 90.00
_cell_angle_gamma 90.00
loop_
_symmetry_equiv_pos_as_xyz
'x,y,z'
loop_
_atom_site_label
_atom_site_fract_x
_atom_site_fract_y
_atom_site_fract_z
_atom_site_occupancy
W1 0.000 0.000 0.000 1
S1 0.500 0.500 0.000 1
N1 0.000 0.500 0.500 1
N2 0.500 0.000 0.500 1
F1 0.500 0.500 0.500 1
# DOS at the Fermi energy: 1.49 states/eV/f.u.
# distance to the lowest polymorph of the same formula: 1576 meV per atom
# symmetry: P4/mmm
# M_tot: 0.86 μB per formula unit